The following is a PBE-GGA calculation of Mg5Zr3Tl12 after structural relaxation, from the Alexandria database.

a = 14.8802 Å, b = 14.8802 Å, c = 14.8802 Å
α = 109.47°, β = 109.47°, γ = 109.47°
Last column: nearest neighbours and their distance in Å.
Fractional coordinates of all 80 atoms:
Tl  0.9364  0.5729  0.1658  2 Mg 2.88-2.94, 1 Zr 3.00, 1 Tl 3.19
Tl  0.5729  0.9364  0.6658  2 Mg 2.88-2.94, 1 Zr 3.00, 1 Tl 3.19
Tl  0.4364  0.7706  0.8635  2 Mg 2.88-2.94, 1 Zr 3.00, 1 Tl 3.19
Tl  0.6658  0.4364  0.5729  2 Mg 2.88-2.94, 1 Zr 3.00, 1 Tl 3.19
Tl  0.7294  0.1365  0.0636  2 Mg 2.88-2.94, 1 Zr 3.00, 1 Tl 3.19
Tl  0.7706  0.4364  0.3635  2 Mg 2.88-2.94, 1 Zr 3.00, 1 Tl 3.19
Tl  0.2706  0.4071  0.8342  2 Mg 2.88-2.94, 1 Zr 3.00, 1 Tl 3.19
Tl  0.8342  0.9071  0.2706  2 Mg 2.88-2.94, 1 Zr 3.00, 1 Tl 3.19
Tl  0.3342  0.7706  0.4071  2 Mg 2.88-2.94, 1 Zr 3.00, 1 Tl 3.19
Tl  0.3635  0.4271  0.0929  2 Mg 2.88-2.94, 1 Zr 3.00, 1 Tl 3.19
Tl  0.5636  0.2294  0.1365  2 Mg 2.88-2.94, 1 Zr 3.00, 1 Tl 3.19
Tl  0.1658  0.0729  0.9364  2 Mg 2.88-2.94, 1 Zr 3.00, 1 Tl 3.19
Tl  0.9271  0.8342  0.5636  2 Mg 2.88-2.94, 1 Zr 3.00, 1 Tl 3.19
Tl  0.5929  0.7294  0.6658  2 Mg 2.88-2.94, 1 Zr 3.00, 1 Tl 3.19
Tl  0.1365  0.7294  0.5636  2 Mg 2.88-2.94, 1 Zr 3.00, 1 Tl 3.19
Tl  0.0929  0.1658  0.2294  2 Mg 2.88-2.94, 1 Zr 3.00, 1 Tl 3.19
Tl  0.2706  0.8635  0.9364  2 Mg 2.88-2.94, 1 Zr 3.00, 1 Tl 3.19
Tl  0.1365  0.4071  0.0729  2 Mg 2.88-2.94, 1 Zr 3.00, 1 Tl 3.19
Tl  0.6365  0.0636  0.2294  2 Mg 2.88-2.94, 1 Zr 3.00, 1 Tl 3.19
Tl  0.4364  0.6658  0.0729  2 Mg 2.88-2.94, 1 Zr 3.00, 1 Tl 3.19
Tl  0.0929  0.9271  0.3635  2 Mg 2.88-2.94, 1 Zr 3.00, 1 Tl 3.19
Tl  0.8342  0.9271  0.0636  2 Mg 2.88-2.94, 1 Zr 3.00, 1 Tl 3.19
Tl  0.6365  0.5729  0.9071  2 Mg 2.88-2.94, 1 Zr 3.00, 1 Tl 3.19
Tl  0.3635  0.9364  0.7706  2 Mg 2.88-2.94, 1 Zr 3.00, 1 Tl 3.19
Tl  0.5636  0.3342  0.9271  2 Mg 2.88-2.94, 1 Zr 3.00, 1 Tl 3.19
Tl  0.7294  0.5929  0.1658  2 Mg 2.88-2.94, 1 Zr 3.00, 1 Tl 3.19
Tl  0.0729  0.9071  0.1365  2 Mg 2.88-2.94, 1 Zr 3.00, 1 Tl 3.19
Tl  0.9271  0.0929  0.8635  2 Mg 2.88-2.94, 1 Zr 3.00, 1 Tl 3.19
Tl  0.0636  0.6365  0.7294  2 Mg 2.88-2.94, 1 Zr 3.00, 1 Tl 3.19
Tl  0.3342  0.5636  0.4271  2 Mg 2.88-2.94, 1 Zr 3.00, 1 Tl 3.19
Tl  0.2294  0.6658  0.0929  2 Mg 2.88-2.94, 1 Zr 3.00, 1 Tl 3.19
Tl  0.4071  0.1365  0.5729  2 Mg 2.88-2.94, 1 Zr 3.00, 1 Tl 3.19
Tl  0.8635  0.2706  0.4364  2 Mg 2.88-2.94, 1 Zr 3.00, 1 Tl 3.19
Tl  0.5929  0.8635  0.4271  2 Mg 2.88-2.94, 1 Zr 3.00, 1 Tl 3.19
Tl  0.9364  0.3635  0.2706  2 Mg 2.88-2.94, 1 Zr 3.00, 1 Tl 3.19
Tl  0.4071  0.2706  0.3342  2 Mg 2.88-2.94, 1 Zr 3.00, 1 Tl 3.19
Tl  0.6658  0.2294  0.5929  2 Mg 2.88-2.94, 1 Zr 3.00, 1 Tl 3.19
Tl  0.0636  0.4271  0.8342  2 Mg 2.88-2.94, 1 Zr 3.00, 1 Tl 3.19
Tl  0.4271  0.3635  0.5929  2 Mg 2.88-2.94, 1 Zr 3.00, 1 Tl 3.19
Tl  0.4271  0.0636  0.3342  2 Mg 2.88-2.94, 1 Zr 3.00, 1 Tl 3.19
Tl  0.8635  0.5929  0.9271  2 Mg 2.88-2.94, 1 Zr 3.00, 1 Tl 3.19
Tl  0.1658  0.0929  0.7294  2 Mg 2.88-2.94, 1 Zr 3.00, 1 Tl 3.19
Tl  0.9071  0.8342  0.7706  2 Mg 2.88-2.94, 1 Zr 3.00, 1 Tl 3.19
Tl  0.2294  0.5636  0.6365  2 Mg 2.88-2.94, 1 Zr 3.00, 1 Tl 3.19
Tl  0.9071  0.0729  0.6365  2 Mg 2.88-2.94, 1 Zr 3.00, 1 Tl 3.19
Tl  0.7706  0.3342  0.9071  2 Mg 2.88-2.94, 1 Zr 3.00, 1 Tl 3.19
Tl  0.5729  0.6365  0.4071  2 Mg 2.88-2.94, 1 Zr 3.00, 1 Tl 3.19
Tl  0.0729  0.1658  0.4364  2 Mg 2.88-2.94, 1 Zr 3.00, 1 Tl 3.19
Mg  0.0000  0.5000  0.5000  6 Tl 2.94
Mg  0.6250  0.7500  0.8750  4 Tl 2.88
Mg  0.7500  0.6250  0.3750  4 Tl 2.88
Mg  0.8750  0.6250  0.7500  4 Tl 2.88
Mg  0.3750  0.1250  0.7500  4 Tl 2.88
Mg  0.1250  0.3750  0.2500  4 Tl 2.88
Mg  0.0000  0.5000  0.0000  6 Tl 2.94
Mg  0.5000  0.0000  0.5000  6 Tl 2.94
Mg  0.6250  0.8750  0.2500  4 Tl 2.88
Mg  0.7500  0.1250  0.8750  4 Tl 2.88
Mg  0.0000  0.0000  0.0000  6 Tl 2.94
Mg  0.2500  0.8750  0.1250  4 Tl 2.88
Mg  0.8750  0.2500  0.6250  4 Tl 2.88
Mg  0.5000  0.5000  0.0000  6 Tl 2.94
Mg  0.2500  0.3750  0.6250  4 Tl 2.88
Mg  0.0000  0.0000  0.5000  6 Tl 2.94
Mg  0.5000  0.0000  0.0000  6 Tl 2.94
Mg  0.3750  0.2500  0.1250  4 Tl 2.88
Mg  0.1250  0.7500  0.3750  4 Tl 2.88
Mg  0.5000  0.5000  0.5000  6 Tl 2.94
Zr  0.3750  0.6250  0.2500  8 Tl 3.00-3.23
Zr  0.7500  0.8750  0.6250  8 Tl 3.00-3.23
Zr  0.6250  0.2500  0.3750  8 Tl 3.00-3.23
Zr  0.2500  0.1250  0.3750  8 Tl 3.00-3.23
Zr  0.8750  0.1250  0.2500  8 Tl 3.00-3.23
Zr  0.3750  0.7500  0.6250  8 Tl 3.00-3.23
Zr  0.2500  0.6250  0.8750  8 Tl 3.00-3.23
Zr  0.1250  0.2500  0.8750  8 Tl 3.00-3.23
Zr  0.6250  0.3750  0.7500  8 Tl 3.00-3.23
Zr  0.8750  0.7500  0.1250  8 Tl 3.00-3.23
Zr  0.1250  0.8750  0.7500  8 Tl 3.00-3.23
Zr  0.7500  0.3750  0.1250  8 Tl 3.00-3.23

Properties
**Final energy**: -2.704 eV/atom
**Space-group type**: Ia-3d
**Calculated formation energy**: 0.40 eV per atom

---

The following is a PBE-GGA calculation of ZrCd2Pt after structural relaxation, from the Alexandria database.

a = 2.9721 Å, b = 4.3924 Å, c = 5.9805 Å
α = 90.00°, β = 90.00°, γ = 90.00°
Last column: nearest neighbours and their distance in Å.
Fractional coordinates of all 4 atoms:
Cd  0.0000  0.0000  0.0141  4 Cd 2.82-3.16, 4 Pt 3.00, 4 Zr 3.09
Cd  0.0000  0.0000  0.4859  4 Cd 2.82-3.16, 4 Pt 3.00, 4 Zr 3.09
Pt  0.5000  0.5000  0.2500  2 Pt 2.97, 2 Zr 2.99, 8 Cd 3.00
Zr  0.5000  0.5000  0.7500  2 Zr 2.97, 2 Pt 2.99, 8 Cd 3.09

Properties
**Final energy**: -4.312 eV/atom
**Space-group type**: Pmmm
**Calculated formation energy**: -0.21 eV per atom

---

The following is a PBE-GGA calculation of KZnCl2 after structural relaxation, from the Alexandria database.

a = 3.8513 Å, b = 3.8084 Å, c = 7.4303 Å
α = 90.00°, β = 90.00°, γ = 90.00°
Last column: nearest neighbours and their distance in Å.
Fractional coordinates of all 4 atoms:
Zn  0.5000  0.7500  0.7500  4 Cl 2.70
K  0.5000  0.2500  0.2500  8 Cl 3.26-3.27
Cl  0.0000  0.7495  0.4957  2 Zn 2.70
Cl  0.0000  0.7505  0.0043  2 Zn 2.70

Properties
**Final energy**: -2.533 eV/atom
**ΔE_f (raw)**: -1017 meV per atom
**Energy relative to the lowest polymorph listed for this composition**: 0.44 eV per formula unit
**Space-group type**: Pmmm

---

The following is a PBE-GGA calculation of Rb2Li2CeBr6 after structural relaxation, from the Alexandria database.

a = 8.0599 Å, b = 8.0599 Å, c = 9.1089 Å
α = 63.74°, β = 63.74°, γ = 60.00°
Last column: nearest neighbours and their distance in Å.
Fractional coordinates of all 11 atoms:
Br  0.2470  0.2470  0.7398  1 Li 2.43
Br  0.2339  0.7530  0.2602  1 Li 2.43
Br  0.7661  0.2470  0.7398  1 Li 2.43
Br  0.7530  0.2339  0.2602  1 Li 2.43
Br  0.7530  0.7530  0.2602  1 Li 2.43
Br  0.2470  0.7661  0.7398  1 Li 2.43
Ce  0.0000  0.0000  0.0000  6 Br 3.03
Li  0.5923  0.5923  0.2230  3 Br 2.43
Li  0.4077  0.4077  0.7770  3 Br 2.43
Rb  0.7916  0.7916  0.6253  3 Br 3.63
Rb  0.2084  0.2084  0.3747  3 Br 3.63

Properties
**Final energy**: -3.502 eV/atom
**ΔE_f (raw)**: -1526 meV per atom
**Space-group type**: R-3m

---

The following is a PBE-GGA calculation of Sm4Cd3Ni after structural relaxation, from the Alexandria database.

a = 3.6446 Å, b = 3.6446 Å, c = 15.5971 Å
α = 90.00°, β = 90.00°, γ = 90.00°
Last column: nearest neighbours and their distance in Å.
Fractional coordinates of all 8 atoms:
Cd  0.5000  0.5000  0.2396  8 Sm 3.27-3.33, 4 Cd 3.64
Cd  0.5000  0.5000  0.7604  8 Sm 3.27-3.33, 4 Cd 3.64
Cd  0.5000  0.5000  0.5000  8 Sm 3.29, 4 Cd 3.64
Sm  0.0000  0.0000  0.6309  8 Cd 3.27-3.29, 4 Sm 3.64
Sm  0.0000  0.0000  0.1041  4 Ni 3.05, 1 Sm 3.25, 4 Cd 3.33
Sm  0.0000  0.0000  0.8959  4 Ni 3.05, 1 Sm 3.25, 4 Cd 3.33
Sm  0.0000  0.0000  0.3691  8 Cd 3.27-3.29, 4 Sm 3.64
Ni  0.5000  0.5000  0.0000  8 Sm 3.05

Properties
**Final energy**: -3.726 eV/atom
**Space-group type**: P4/mmm
**Calculated formation energy**: -0.30 eV per atom

---

The following is a PBE-GGA calculation of Na4ZrSc3Se8 after structural relaxation, from the Alexandria database.

a = 7.8386 Å, b = 8.3494 Å, c = 7.8395 Å
α = 118.03°, β = 120.00°, γ = 90.00°
Last column: nearest neighbours and their distance in Å.
Fractional coordinates of all 16 atoms:
Na  0.0000  0.0000  0.0000  6 Se 2.99-3.00
Na  0.0000  0.0000  0.5000  6 Se 2.99-3.00
Na  0.5000  0.0000  0.5000  6 Se 2.99-3.00
Na  0.5000  0.0000  0.0000  6 Se 2.99
Zr  0.0000  0.5000  0.0000  6 Se 2.75
Se  0.7593  0.2785  0.5187  2 Sc 2.74, 1 Zr 2.75, 3 Na 2.99
Se  0.2602  0.2808  0.5204  3 Sc 2.74, 3 Na 3.00
Se  0.2596  0.2785  0.0189  2 Sc 2.74-2.75, 1 Zr 2.75, 3 Na 2.99
Se  0.7593  0.2785  0.0189  2 Sc 2.74-2.75, 1 Zr 2.75, 3 Na 2.99
Se  0.2407  0.7215  0.4813  2 Sc 2.74, 1 Zr 2.75, 3 Na 2.99
Se  0.2407  0.7215  0.9811  2 Sc 2.74-2.75, 1 Zr 2.75, 3 Na 2.99
Se  0.7398  0.7192  0.4796  3 Sc 2.74, 3 Na 3.00
Se  0.7404  0.7215  0.9811  2 Sc 2.74-2.75, 1 Zr 2.75, 3 Na 2.99
Sc  0.5000  0.5000  0.5000  6 Se 2.74-2.75
Sc  0.0000  0.5000  0.5000  6 Se 2.74-2.75
Sc  0.5000  0.5000  0.0000  6 Se 2.74

Properties
**Final energy**: -5.303 eV/atom
**ΔE_f (raw)**: -1509 meV per atom
**Space-group type**: R-3m

---

The following is a PBE-GGA calculation of NdTh6Pb10 after structural relaxation, from the Alexandria database.

a = 6.4608 Å, b = 9.7281 Å, c = 9.7281 Å
α = 120.00°, β = 90.00°, γ = 90.00°
Last column: nearest neighbours and their distance in Å.
Fractional coordinates of all 17 atoms:
Pb  0.2240  0.2704  0.2704  1 Nd 3.18, 5 Th 3.32-3.52
Pb  0.0000  0.3333  0.6667  2 Pb 3.23, 6 Th 3.45
Pb  0.5000  0.6667  0.3333  2 Pb 3.23, 6 Th 3.40
Pb  0.7760  0.2704  0.0000  1 Nd 3.18, 5 Th 3.32-3.52
Pb  0.2240  0.0000  0.7296  1 Nd 3.18, 5 Th 3.32-3.52
Pb  0.7760  0.7296  0.7296  1 Nd 3.18, 5 Th 3.32-3.52
Pb  0.5000  0.3333  0.6667  2 Pb 3.23, 6 Th 3.40
Pb  0.0000  0.6667  0.3333  2 Pb 3.23, 6 Th 3.45
Pb  0.7760  0.0000  0.2704  1 Nd 3.18, 5 Th 3.32-3.52
Pb  0.2240  0.7296  0.0000  1 Nd 3.18, 5 Th 3.32-3.52
Th  0.7408  0.6142  0.0000  9 Pb 3.32-3.52
Th  0.2592  0.0000  0.3858  9 Pb 3.32-3.52
Th  0.7408  0.0000  0.6142  9 Pb 3.32-3.52
Th  0.2592  0.6142  0.6142  9 Pb 3.32-3.52
Th  0.2592  0.3858  0.0000  9 Pb 3.32-3.52
Th  0.7408  0.3858  0.3858  9 Pb 3.32-3.52
Nd  0.5000  0.0000  0.0000  6 Pb 3.18

Properties
**Final energy**: -5.339 eV/atom
**Space-group type**: P-31m
**Calculated formation energy**: -0.26 eV per atom

---

The following is a PBE-GGA calculation of TbEr2Te2 after structural relaxation, from the Alexandria database.

a = 4.6353 Å, b = 4.6353 Å, c = 7.2485 Å
α = 79.25°, β = 79.25°, γ = 79.30°
Last column: nearest neighbours and their distance in Å.
Fractional coordinates of all 5 atoms:
Tb  0.0000  0.0000  0.0000  6 Te 3.05-3.41
Er  0.7527  0.2473  0.5000  2 Er 2.93-2.99, 4 Te 3.10-3.11
Er  0.2473  0.7527  0.5000  2 Er 2.93-2.99, 4 Te 3.10-3.11
Te  0.3251  0.3251  0.2066  3 Tb 3.05-3.41, 4 Er 3.10-3.11, 1 Te 3.40
Te  0.6749  0.6749  0.7934  3 Tb 3.05-3.41, 4 Er 3.10-3.11, 1 Te 3.40

Properties
**Final energy**: -4.692 eV/atom
**ΔE_f (raw)**: -684 meV per atom
**Space-group type**: C2/m

---

The following is a PBE-GGA calculation of BaSr2MgTa after structural relaxation, from the Alexandria database.

a = 6.0649 Å, b = 5.7388 Å, c = 6.0649 Å
α = 90.00°, β = 90.00°, γ = 90.00°
Last column: nearest neighbours and their distance in Å.
Fractional coordinates of all 5 atoms:
Sr  0.5000  0.0000  0.0000  2 Ta 3.03
Sr  0.0000  0.0000  0.5000  2 Ta 3.03
Ba  0.5000  0.5000  0.5000  8 Sr 4.17, 4 Mg 4.29
Mg  0.0000  0.5000  0.0000  2 Ta 2.87
Ta  0.0000  0.0000  0.0000  2 Mg 2.87, 4 Sr 3.03

Properties
**Final energy**: -2.931 eV/atom
**Space-group type**: P4/mmm
**Calculated formation energy**: 0.82 eV per atom

---

The following is a PBE-GGA calculation of La3Y6Th2Sc after structural relaxation, from the Alexandria database.

a = 6.2052 Å, b = 6.2052 Å, c = 11.8780 Å
α = 94.99°, β = 94.99°, γ = 119.99°
Last column: nearest neighbours and their distance in Å.
Fractional coordinates of all 12 atoms:
Y  0.7467  0.7467  0.2419  2 Th 3.50, 1 Sc 3.51, 6 Y 3.58, 3 La 3.66
Y  0.4131  0.0800  0.2416  1 Sc 3.50, 2 Th 3.50, 6 Y 3.58, 3 La 3.66-3.67
Y  0.5869  0.9200  0.7584  1 Sc 3.50, 2 Th 3.50, 6 Y 3.58, 3 La 3.66-3.67
Y  0.2533  0.2533  0.7581  2 Th 3.50, 1 Sc 3.51, 6 Y 3.58, 3 La 3.66
Y  0.9200  0.5869  0.7584  1 Sc 3.50, 2 Th 3.50, 6 Y 3.58, 3 La 3.66-3.67
Y  0.0800  0.4131  0.2416  1 Sc 3.50, 2 Th 3.50, 6 Y 3.58, 3 La 3.66-3.67
Th  0.3336  0.6664  0.0000  6 Y 3.50, 3 Th 3.58-3.59, 3 Sc 3.58
Th  0.6664  0.3336  0.0000  6 Y 3.50, 3 Th 3.58-3.59, 3 Sc 3.58
La  0.8340  0.1660  0.5000  6 La 3.57-3.59, 6 Y 3.66-3.67
La  0.1660  0.8340  0.5000  6 La 3.57-3.59, 6 Y 3.66-3.67
La  0.5000  0.5000  0.5000  6 La 3.58-3.59, 6 Y 3.66
Sc  0.0000  0.0000  0.0000  6 Y 3.50-3.51, 6 Th 3.58

Properties
**Final energy**: -6.203 eV/atom
**Space-group type**: C2/m
**Calculated formation energy**: 0.02 eV per atom

---

Q: The highest final energy belongs to which entry?
A: KZnCl2